{"formula": "NbCrOF2", "functional": "PBE+U", "state": "optimized geometry", "lattice": [[-3.0160, -2.6226, -0.6761], [0.1970, -1.2217, 3.8600], [-2.7030, 2.8411, 1.0371]], "species": ["Cr", "Nb", "O", "F", "F"], "frac_coords": [[0.0000, 0.0000, 0.0000], [0.5000, 0.5000, 0.5000], [0.0000, 0.0000, 0.5000], [0.0000, 0.5000, 0.0000], [0.5000, 0.0000, 0.0000]], "e_above_lowest_polymorph_mev_per_atom": 552}